Computed, not measured: an optimized crystal structure of HfAl6Ag at the PBE-GGA level of DFT.

Summary:
ΔH_f (0 K): -0.113 eV/atom
Magnetic moment: 0.00 μB per cell
Space group: Cmmm, No. 65
Offset from the most stable computed form: 0.0000 eV per atom

```
data_HfAl6Ag
_cell_length_a 4.078
_cell_length_b 5.828
_cell_length_c 5.828
_cell_angle_alpha 89.50
_cell_angle_beta 90.00
_cell_angle_gamma 90.00
_space_group_name_H-M_alt 'P 1'
_space_group_IT_number 1
loop_
_space_group_symop_operation_xyz
'x,y,z'
loop_
_atom_site_label
_atom_site_type_symbol
_atom_site_fract_x
_atom_site_fract_y
_atom_site_fract_z
Al1 Al 0.000 0.749 0.251
Ag1 Ag 0.500 0.500 0.500
Al2 Al 0.000 0.249 0.249
Al3 Al 0.500 0.000 0.500
Al4 Al 0.500 0.500 0.000
Hf1 Hf 0.500 0.000 0.000
Al5 Al 0.000 0.751 0.751
Al6 Al 0.000 0.251 0.749
```